(1)
HoSc3As3, relaxed, DFT PBE-GGA; density of states at the Fermi level = 8.40 states/eV/cell; total moment = 0.0 μB/f.u.; VASP energy = -90.77 eV per cell; excess energy over the best structure of this formula in the dataset = 79 meV per atom; theoretical density = 5.50 Mg/m³; energy of formation from the pure elements = -1.12 eV/atom
1.0
8.1578 0.0000 0.0000
4.0789 7.0649 0.0000
4.0789 2.3550 5.4911
As Ho Sc
6 2 6
direct
0.7108 0.4563 0.7558
0.2892 0.5437 0.2442
0.0771 0.7108 0.7558
0.9229 0.2892 0.2442
0.4563 0.0771 0.7558
0.5437 0.9229 0.2442
0.3335 0.3335 0.9994
0.6665 0.6665 0.0006
0.0911 0.3533 0.7372
0.6467 0.1816 0.2628
0.1816 0.9089 0.2628
0.3533 0.8184 0.7372
0.9089 0.6467 0.2628
0.8184 0.0911 0.7372

---

(2)
HoSc4As5, relaxed, DFT PBE-GGA; density of states at the Fermi level = 1.83 states/eV/cell; total moment = 0.0 μB/f.u.; VASP energy = -67.09 eV per cell; theoretical density = 5.58 Mg/m³; energy of formation from the pure elements = -1.39 eV/atom
1.0
-0.2581 0.5996 -3.8694
4.7085 -2.8685 -0.7586
-7.4119 -7.1320 1.3790
As Sc Ho
5 4 1
direct
0.8006 0.3006 0.6012
0.6053 0.1053 0.2106
0.3947 0.8947 0.7894
0.1994 0.6994 0.3988
0.0000 0.5000 0.0000
0.7976 0.7976 0.5952
0.6008 0.6008 0.2017
0.3992 0.3992 0.7983
0.2024 0.2024 0.4048
0.0000 0.0000 0.0000

---

(3)
HoSc5As4, relaxed, DFT PBE-GGA; density of states at the Fermi level = 5.14 states/eV/cell; total moment = 0.0 μB/f.u.; VASP energy = -65.00 eV per cell; theoretical density = 4.79 Mg/m³; energy of formation from the pure elements = -1.02 eV/atom
1.0
3.8917 0.0000 0.0000
0.0000 7.6008 -0.5979
-1.9459 -1.7091 8.2079
Sc As Ho
5 4 1
direct
0.8270 0.6532 0.6540
0.5000 0.5000 0.0000
0.8379 0.1560 0.6757
0.1730 0.3468 0.3460
0.1621 0.8440 0.3243
0.6752 0.1024 0.3504
0.9939 0.7324 0.9878
0.3248 0.8976 0.6496
0.0061 0.2676 0.0122
0.5000 0.0000 0.0000